# KU2S4 GGA-PBE relaxed
data_KU2S4
_chemical_formula_sum 'K4 U8 S16'
_symmetry_space_group_name_H-M 'C m c m'
_symmetry_Int_Tables_number 63
_symmetry_space_group_name_Hall '-C 2c 2'
_cell_length_a 3.999
_cell_length_b 13.262
_cell_length_c 13.635
_cell_angle_alpha 90.00
_cell_angle_beta 90.00
_cell_angle_gamma 90.00
loop_
_atom_site_label
_atom_site_fract_x
_atom_site_fract_y
_atom_site_fract_z
_atom_site_occupancy
K1 0.000 0.108 0.250 1
U1 0.000 0.367 0.065 1
S1 0.000 0.000 0.000 1
S2 0.000 0.264 0.607 1
S3 0.000 0.427 0.250 1
# Energy relative to the elements, uncorrected   -1.40 eV per atom
# Theoretical density   5.910 g cm⁻³
# V   25.83 Å³ per atom